Here is a geometry-optimized H5IrSe structure from the Alexandria database. Energies are from GGA-PBE.

Geometry as POSCAR:
```
H5IrSe
1.0
3.0808 0.0000 -1.3956
-0.9626 4.1529 -2.1251
0.8618 0.5387 6.0008
H Ir Se
5 1 1
Direct
0.7611 0.1377 0.2755 H
0.9548 0.4548 0.9095 H
0.5143 0.1377 0.2755 H
0.3036 0.4421 0.6072 H
0.3036 0.1650 0.6072 H
0.8055 0.3055 0.6110 Ir
0.8878 0.8878 0.7756 Se
```

DFT total energy (eV per cell): -27.85
SG: No. 44
N(E_F) (states/eV/f.u.): 1.4